{"formula": "TcHg2Te", "functional": "PBE", "state": "optimized geometry", "cell": [[-1.5625, 2.1885, 6.9336], [1.5625, -2.1885, 6.9336], [1.5625, 2.1885, -6.9336]], "species": ["Tc", "Hg", "Hg", "Te"], "frac_coords": [[0.0000, 0.0000, 0.0000], [0.1885, 0.6885, 0.5000], [0.8115, 0.3115, 0.5000], [0.5000, 0.5000, 0.0000]], "formation_energy_uncorrected_ev_per_fu": 1.78, "vol_a3_per_cell": 95, "spacegroup": "No. 71", "crystal_system": "orthorhombic"}

=====

{"formula": "TeAuN2F", "functional": "PBE", "state": "optimized geometry", "cell": [[3.9273, 0.0000, 0.0000], [0.0000, 3.9273, 0.0000], [0.0000, 0.0000, 6.7071]], "species": ["Te", "Au", "N", "N", "F"], "frac_coords": [[0.0000, 0.0000, 0.0000], [0.0000, 0.0000, 0.5000], [0.0000, 0.5000, 0.5000], [0.5000, 0.0000, 0.5000], [0.5000, 0.5000, 0.0000]], "formation_energy_uncorrected_ev_per_fu": 7.06, "vol_a3_per_cell": 103, "spacegroup": "No. 123", "crystal_system": "tetragonal"}